Run A
This record from the Alexandria database describes a relaxed Nb2PtF crystal. The functional is PBE-GGA.

The structure in POSCAR format:
```
Nb2PtF
1.0
-2.285 2.285 7.042
2.285 -2.285 7.042
2.285 2.285 -7.042
Nb Pt F
4 2 2
Cartesian
3.428 0.794 -1.761
0.794 1.143 1.761
-1.143 1.491 5.282
1.491 1.143 8.803
2.285 0.000 3.521
0.000 0.000 7.042
0.000 0.000 0.000
0.000 2.285 3.521
```

**N(E_F)**: 5.95 states/eV/cell
**Total magnetic moment**: 0.000 μB per formula unit

Run B
This record from the Alexandria database describes a relaxed Nb2PtF crystal. The functional is PBE-GGA.

The structure in POSCAR format:
```
Nb2PtF
1.0
0.000 3.157 3.157
3.157 0.000 3.157
3.157 3.157 0.000
Nb Pt F
2 1 1
Cartesian
1.578 1.578 1.578
4.735 4.735 4.735
0.000 0.000 0.000
3.157 3.157 3.157
```

**N(E_F)**: 6.57 states/eV/cell
**Total magnetic moment**: 0.000 μB per formula unit

Tell me which of them is the least stable. Sure, it is run A.

Run A
This record from the Alexandria database describes a relaxed NbPtF2 crystal. The functional is PBE-GGA.

The structure in POSCAR format:
```
NbPtF2
1.0
1.378 0.795 10.301
-1.378 0.795 10.301
0.000 -1.591 10.301
Nb Pt F
1 1 2
Cartesian
0.000 0.000 0.000
0.000 0.000 15.452
0.000 0.000 11.825
0.000 0.000 19.080
```

**N(E_F)**: 2.98 states/eV/cell
**Total magnetic moment**: 0.000 μB per formula unit

Run B
This record from the Alexandria database describes a relaxed NbPtF2 crystal. The functional is PBE-GGA.

The structure in POSCAR format:
```
NbPtF2
1.0
-1.942 1.942 7.601
1.942 -1.942 7.601
1.942 1.942 -7.601
Nb Pt F
2 2 4
Cartesian
0.000 0.000 0.000
0.000 1.942 3.801
1.942 0.000 3.801
0.000 0.000 7.601
2.912 0.567 -1.900
0.567 0.971 1.900
-0.971 1.374 5.701
1.374 0.971 9.502
```

**N(E_F)**: 4.45 states/eV/cell
**Total magnetic moment**: 0.000 μB per formula unit

Run C
This record from the Alexandria database describes a relaxed NbPtF2 crystal. The functional is PBE-GGA.

The structure in POSCAR format:
```
NbPtF2
1.0
0.000 2.973 2.973
2.973 0.000 2.973
2.973 2.973 0.000
Nb Pt F
1 1 2
Cartesian
0.000 0.000 0.000
2.973 2.973 2.973
1.487 1.487 1.487
4.460 4.460 4.460
```

**N(E_F)**: 2.33 states/eV/cell
**Total magnetic moment**: 0.000 μB per formula unit

Tell me which of them is the least stable. Sure, it is run C.

Run A
This record from the Alexandria database describes a relaxed Rb2NbF crystal. The functional is PBE-GGA.

The structure in POSCAR format:
```
Rb2NbF
1.0
0.000 4.175 4.175
4.175 0.000 4.175
4.175 4.175 0.000
Rb Nb F
2 1 1
Cartesian
2.088 2.088 2.088
6.263 6.263 6.263
0.000 0.000 0.000
4.175 4.175 4.175
```

**N(E_F)**: 8.19 states/eV/cell
**Total magnetic moment**: 5.580 μB per formula unit

Run B
This record from the Alexandria database describes a relaxed Rb2NbF crystal. The functional is PBE-GGA.

The structure in POSCAR format:
```
Rb2NbF
1.0
-4.153 4.153 4.875
4.153 -4.153 4.875
4.153 4.153 -4.875
Rb Nb F
4 2 2
Cartesian
6.229 1.091 -1.219
1.091 2.076 1.219
-2.076 3.062 3.656
3.062 2.076 6.093
4.153 0.000 2.437
0.000 0.000 4.875
0.000 0.000 0.000
0.000 4.153 2.437
```

**N(E_F)**: 42.31 states/eV/cell
**Total magnetic moment**: 4.943 μB per formula unit

Tell me which of them is the least stable. Sure, it is run A.

Run A
This record from the Alexandria database describes a relaxed RbNb2F crystal. The functional is PBE-GGA.

The structure in POSCAR format:
```
RbNb2F
1.0
-3.374 3.374 4.807
3.374 -3.374 4.807
3.374 3.374 -4.807
Rb Nb F
2 4 2
Cartesian
3.374 1.687 1.202
0.000 1.687 3.605
0.000 0.000 0.000
1.687 1.687 -2.403
1.687 -1.687 2.403
0.000 3.374 0.000
3.374 -1.687 3.605
0.000 5.061 1.202
```

**N(E_F)**: 10.09 states/eV/cell
**Total magnetic moment**: 0.000 μB per formula unit

Run B
This record from the Alexandria database describes a relaxed RbNb2F crystal. The functional is PBE-GGA.

The structure in POSCAR format:
```
RbNb2F
1.0
0.000 3.401 3.401
3.401 0.000 3.401
3.401 3.401 0.000
Rb Nb F
1 2 1
Cartesian
0.000 0.000 0.000
1.700 1.700 1.700
5.101 5.101 5.101
3.401 3.401 3.401
```

**N(E_F)**: 4.89 states/eV/cell
**Total magnetic moment**: 1.746 μB per formula unit

Tell me which of them is the least stable. Sure, it is run B.